1.
AcHoOs: relaxed, GGA-PBE.

Cell: 4.8858 4.8858 4.8858 Å, 60.00 60.00 60.00°
Fractional coordinates of all 3 atoms:
Ac (0.2500, 0.2500, 0.2500)
Ho (0.0000, 0.0000, 0.0000)
Os (0.7500, 0.7500, 0.7500)

Output
- formation energy (eV per formula unit) = 2.23
- distance to the lowest polymorph of the same formula (meV per atom) = 0

---

2.
PmHfNO: relaxed, GGA-PBE.

Cell: 4.5023 4.5023 6.1416 Å, 90.00 90.00 90.00°
Fractional coordinates of all 8 atoms:
Hf (0.0000, 0.5000, 0.0366)
Hf (0.5000, 0.0000, 0.9634)
N (0.0000, 0.5000, 0.3563)
N (0.5000, 0.0000, 0.6437)
O (0.0000, 0.0000, 0.0000)
O (0.5000, 0.5000, 0.0000)
Pm (0.0000, 0.0000, 0.5000)
Pm (0.5000, 0.5000, 0.5000)

Output
- distance to the lowest polymorph of the same formula (meV per atom) = 219

---

3.
NdCuSi2Ag: relaxed, GGA-PBE.

Cell: 5.9365 5.9365 5.9365 Å, 138.83 138.83 59.63°
Fractional coordinates of all 5 atoms:
Ag (0.0000, 0.0000, 0.0000)
Cu (0.5000, 0.5000, 0.0000)
Nd (0.2500, 0.7500, 0.5000)
Si (0.6359, 0.1359, 0.5000)
Si (0.8641, 0.3641, 0.5000)

Output
- uncorrected energy (Ry per atom) = -0.361

---

4.
TbTePO: relaxed, GGA-PBE.

Cell: 5.6663 5.6663 5.0603 Å, 90.00 90.00 90.00°
Fractional coordinates of all 8 atoms:
O (0.7500, 0.2500, 0.0000)
O (0.2500, 0.7500, 0.0000)
P (0.7500, 0.7500, 0.4934)
P (0.2500, 0.2500, 0.5066)
Tb (0.7500, 0.2500, 0.5000)
Tb (0.2500, 0.7500, 0.5000)
Te (0.2500, 0.2500, 0.0011)
Te (0.7500, 0.7500, 0.9989)

Output
- distance to the lowest polymorph of the same formula (meV per atom) = 433